1.
CuW2Cl (GGA-PBE, optimized geometry); symmetry = Imm2 (44); formation energy from raw total energies = 789 meV per atom
1.0
3.034 0.000 0.000
0.000 4.320 0.000
0.000 0.000 11.946
Cu W Cl
2 4 2
direct
0.000 0.000 0.000
0.500 0.500 0.500
0.000 0.000 0.540
0.000 0.500 0.882
0.500 0.000 0.382
0.500 0.500 0.040
0.000 0.500 0.234
0.500 0.000 0.734

2.
CuW2Cl (GGA-PBE, optimized geometry); symmetry = R-3m (166); formation energy from raw total energies = 663 meV per atom
1.0
2.851 0.000 0.000
-1.426 2.469 0.000
0.000 0.000 25.707
Cu W Cl
3 6 3
direct
0.000 0.000 0.000
0.333 0.667 0.667
0.667 0.333 0.333
0.000 0.000 0.249
0.000 0.000 0.751
0.333 0.667 0.417
0.333 0.667 0.916
0.667 0.333 0.084
0.667 0.333 0.583
0.000 0.000 0.500
0.333 0.667 0.167
0.667 0.333 0.833

3.
Cu2WCl (GGA-PBE, optimized geometry); symmetry = Immm (71); formation energy from raw total energies = 745 meV per atom
1.0
2.796 0.000 0.000
0.000 4.341 0.000
0.000 0.000 9.728
Cu W Cl
4 2 2
direct
0.000 0.000 0.239
0.000 0.000 0.761
0.500 0.500 0.261
0.500 0.500 0.739
0.000 0.500 0.500
0.500 0.000 0.000
0.000 0.500 0.000
0.500 0.000 0.500

4.
Cu2WCl (GGA-PBE, optimized geometry); symmetry = Imm2 (44); formation energy from raw total energies = 419 meV per atom
1.0
2.789 0.000 0.000
0.000 4.052 0.000
0.000 0.000 13.065
Cu W Cl
4 2 2
direct
0.000 0.000 0.000
0.000 0.500 0.107
0.500 0.000 0.607
0.500 0.500 0.500
0.000 0.500 0.672
0.500 0.000 0.172
0.000 0.000 0.326
0.500 0.500 0.826

5.
Cu3WCl (GGA-PBE, optimized geometry); symmetry = Pm-3m (221); formation energy from raw total energies = 1579 meV per atom
1.0
4.801 0.000 0.000
0.000 4.801 0.000
0.000 0.000 4.801
Cu W Cl
3 1 1
direct
0.000 0.000 0.500
0.000 0.500 0.000
0.500 0.000 0.000
0.000 0.000 0.000
0.500 0.500 0.500

6.
Cu2WCl (GGA-PBE, optimized geometry); symmetry = R3m (160); formation energy from raw total energies = 295 meV per atom
1.0
2.898 0.000 0.000
-1.449 2.510 0.000
0.000 0.000 27.082
Cu W Cl
6 3 3
direct
0.000 0.000 0.000
0.000 0.000 0.265
0.333 0.667 0.667
0.333 0.667 0.932
0.667 0.333 0.333
0.667 0.333 0.598
0.000 0.000 0.744
0.333 0.667 0.411
0.667 0.333 0.077
0.000 0.000 0.479
0.333 0.667 0.145
0.667 0.333 0.812

| no. | ΔE to the lowest computed polymorph (kcal/mol of atoms) |
| --- | --- |
| 1 | 9.37 |
| 2 | 6.46 |
| 3 | 10.38 |
| 4 | 2.87 |
| 5 | 1.10 |
| 6 | 0.00 |